Version A
Ac2InAg2, relaxed, DFT PBE-GGA; SG = C2/m (12); density = 8.65 g cm⁻³
1.0
6.021 -2.426 0.000
6.021 2.426 0.000
-5.410 0.000 10.314
Ac In Ag
4 2 4
Direct
0.011 0.011 0.335
0.192 0.192 0.106
0.808 0.808 0.894
0.989 0.989 0.665
0.274 0.274 0.648
0.726 0.726 0.352
0.364 0.364 0.438
0.480 0.480 0.113
0.520 0.520 0.887
0.636 0.636 0.562

=====

Version B
Ac2InAg2, relaxed, DFT PBE-GGA; SG = P4/mbm (127); density = 8.64 g cm⁻³
1.0
8.313 0.000 0.000
0.000 8.313 0.000
0.000 0.000 4.364
Ac In Ag
4 2 4
Direct
0.179 0.321 0.000
0.321 0.821 0.000
0.679 0.179 0.000
0.821 0.679 0.000
0.000 0.000 0.500
0.500 0.500 0.500
0.122 0.622 0.500
0.378 0.122 0.500
0.622 0.878 0.500
0.878 0.378 0.500

=====

Relative energy of each structure, in meV/atom: version A 41; version B 0.

=====

Version A
AcIn2Ag, relaxed, DFT PBE-GGA; SG = Cmcm (63); density = 8.63 g cm⁻³
1.0
5.040 0.000 0.000
0.000 11.486 0.000
0.000 0.000 7.509
Ac In Ag
4 8 4
Direct
0.000 0.090 0.250
0.000 0.910 0.750
0.500 0.410 0.750
0.500 0.590 0.250
0.000 0.372 0.052
0.000 0.372 0.448
0.000 0.628 0.552
0.000 0.628 0.948
0.500 0.128 0.552
0.500 0.128 0.948
0.500 0.872 0.052
0.500 0.872 0.448
0.000 0.202 0.750
0.000 0.798 0.250
0.500 0.298 0.250
0.500 0.702 0.750

=====

Version B
AcIn2Ag, relaxed, DFT PBE-GGA; SG = P4/mmm (123); density = 8.61 g cm⁻³
1.0
3.739 0.000 0.000
0.000 3.739 0.000
0.000 0.000 7.784
Ac In Ag
1 2 1
Direct
0.000 0.000 0.000
0.500 0.500 0.303
0.500 0.500 0.697
0.000 0.000 0.500

=====

Version C
AcIn2Ag, relaxed, DFT PBE-GGA; SG = Cmcm (63); density = 8.33 g cm⁻³
1.0
4.467 0.000 0.000
0.000 21.062 0.000
0.000 0.000 4.786
Ac In Ag
4 8 4
Direct
0.000 0.109 0.250
0.000 0.891 0.750
0.500 0.391 0.750
0.500 0.609 0.250
0.000 0.252 0.750
0.000 0.464 0.250
0.000 0.536 0.750
0.000 0.748 0.250
0.500 0.036 0.750
0.500 0.248 0.250
0.500 0.752 0.750
0.500 0.964 0.250
0.000 0.333 0.250
0.000 0.667 0.750
0.500 0.167 0.750
0.500 0.833 0.250

=====

Relative energy of each structure, in meV/atom: version A 9; version B 175; version C 0.